No. 1
This record from Alexandria via LeMat-Bulk describes a PBEsol-optimized structure of CrGeSeN2. The functional is SCAN.

Values from the calculation:
Space-group type = No. 123
Formation energy from raw total energies = 0.88 eV per atom
Uncorrected energy = -14.35 eV per atom
Theoretical density = 5167 kg/m³

Cell: 3.6766 3.6766 5.5068 Å, 90.00 90.00 90.00°
Fractional positions:
Cr 0.0000 0.0000 0.0000
Ge 0.5000 0.5000 0.5000
Se 0.5000 0.5000 0.0000
N 0.0000 0.5000 0.5000
N 0.5000 0.0000 0.5000

***

No. 2
This record from Alexandria via LeMat-Bulk describes a PBEsol-optimized structure of Zr3AuO. The functional is SCAN.

Values from the calculation:
Space-group type = No. 221
Formation energy from raw total energies = -1.45 eV per atom
Uncorrected energy = -34.95 eV per atom
Theoretical density = 9551 kg/m³

Cell: 4.3901 4.3901 4.3901 Å, 90.00 90.00 90.00°
Fractional positions:
Zr 0.0000 0.0000 0.5000
Zr 0.0000 0.5000 0.0000
Zr 0.5000 0.0000 0.0000
Au 0.5000 0.5000 0.5000
O 0.0000 0.0000 0.0000

***

No. 3
This record from Alexandria via LeMat-Bulk describes a PBEsol-optimized structure of K2ReBr. The functional is SCAN.

Values from the calculation:
Space-group type = No. 12
Formation energy from raw total energies = 0.63 eV per atom
Uncorrected energy = -26.17 eV per atom
Theoretical density = 6229 kg/m³

Cell: 3.2178 3.2178 10.7892 Å, 96.66 96.66 55.98°
Fractional positions:
K 0.2431 0.2431 0.2326
K 0.7569 0.7569 0.7674
Re 0.0000 0.0000 0.5000
Br 0.5000 0.5000 0.0000

***

No. 4
This record from Alexandria via LeMat-Bulk describes a PBEsol-optimized structure of TlFeSi2. The functional is SCAN.

Values from the calculation:
Space-group type = No. 10
Formation energy from raw total energies = 0.51 eV per atom
Uncorrected energy = -27.12 eV per atom
Theoretical density = 7478 kg/m³

Cell: 3.8718 3.9909 4.7166 Å, 90.00 105.42 90.00°
Fractional positions:
Tl 0.0000 0.0000 0.0000
Fe 0.5000 0.0000 0.5000
Si 0.4437 0.5000 0.7329
Si 0.5563 0.5000 0.2671

***

No. 5
This record from Alexandria via LeMat-Bulk describes a PBEsol-optimized structure of Na7Ti11O24. The functional is SCAN.

Values from the calculation:
Space-group type = No. 12
Formation energy from raw total energies = -2.97 eV per atom
Uncorrected energy = -11.43 eV per atom
Theoretical density = 3640 kg/m³

Cell: 10.5017 10.5017 6.1527 Å, 106.00 106.00 120.17°
Fractional positions:
Na 0.0000 0.0000 0.0000
Na 0.0335 0.7120 0.1075
Na 0.2880 0.9665 0.8925
Na 0.3866 0.3866 0.1499
Na 0.6134 0.6134 0.8501
Na 0.7120 0.0335 0.1075
Na 0.9665 0.2880 0.8925
Ti 0.0000 0.0000 0.5000
Ti 0.0000 0.5000 0.5000
Ti 0.1723 0.3374 0.5248
Ti 0.3270 0.6730 0.0000
Ti 0.3303 0.6697 0.5000
Ti 0.3374 0.1723 0.5248
Ti 0.5000 0.0000 0.5000
Ti 0.6626 0.8277 0.4752
Ti 0.6697 0.3303 0.5000
Ti 0.6730 0.3270 0.0000
Ti 0.8277 0.6626 0.4752
O 0.0341 0.8830 0.6782
O 0.1029 0.4445 0.7471
O 0.1084 0.4355 0.3205
O 0.1170 0.9659 0.3218
O 0.2307 0.2307 0.7268
O 0.2357 0.7218 0.7239
O 0.2782 0.7643 0.2761
O 0.2807 0.2807 0.3651
O 0.3883 0.5929 0.7491
O 0.4071 0.6117 0.2509
O 0.4355 0.1084 0.3205
O 0.4445 0.1029 0.7471
O 0.5555 0.8971 0.2529
O 0.5645 0.8916 0.6795
O 0.5929 0.3883 0.7491
O 0.6117 0.4071 0.2509
O 0.7193 0.7193 0.6349
O 0.7218 0.2357 0.7239
O 0.7643 0.2782 0.2761
O 0.7693 0.7693 0.2732
O 0.8830 0.0341 0.6782
O 0.8916 0.5645 0.6795
O 0.8971 0.5555 0.2529
O 0.9659 0.1170 0.3218

***

No. 6
This record from Alexandria via LeMat-Bulk describes a PBEsol-optimized structure of MnNbCo2W. The functional is SCAN.

Values from the calculation:
Space-group type = No. 123
Uncorrected energy = -29.68 eV per atom
Calculated formation energy = 1.454 eV/atom
Theoretical density = 8102 kg/m³

Cell: 4.3787 4.3787 4.8053 Å, 90.00 90.00 90.00°
Fractional positions:
Mn 0.0000 0.0000 0.0000
Nb 0.5000 0.5000 0.0000
Co 0.0000 0.5000 0.5000
Co 0.5000 0.0000 0.5000
W 0.5000 0.5000 0.5000

***

No. 7
This record from Alexandria via LeMat-Bulk describes a PBEsol-optimized structure of NiMo2Au. The functional is SCAN.

Values from the calculation:
Space-group type = No. 65
Uncorrected energy = -38.60 eV per atom
Calculated formation energy = 0.178 eV/atom
Theoretical density = 12925 kg/m³

Cell: 4.8882 4.8882 2.6619 Å, 90.00 90.00 115.31°
Fractional positions:
Ni 0.0000 0.0000 0.0000
Mo 0.0000 0.5000 0.5000
Mo 0.5000 0.0000 0.5000
Au 0.5000 0.5000 0.0000

***

No. 8
This record from Alexandria via LeMat-Bulk describes a PBEsol-optimized structure of SiHg2Os. The functional is SCAN.

Values from the calculation:
Space-group type = No. 10
Formation energy from raw total energies = 0.78 eV per atom
Uncorrected energy = -53.78 eV per atom
Theoretical density = 14631 kg/m³

Cell: 2.9010 5.3597 4.5266 Å, 90.00 92.56 90.00°
Fractional positions:
Si 0.0000 0.0000 0.0000
Hg 0.2507 0.5000 0.2504
Hg 0.7493 0.5000 0.7496
Os 0.5000 0.0000 0.5000

***

No. 9
This record from Alexandria via LeMat-Bulk describes a PBEsol-optimized structure of SrPtW. The functional is SCAN.

Values from the calculation:
Space-group type = No. 216
Uncorrected energy = -52.11 eV per atom
Calculated formation energy = 1.941 eV/atom
Theoretical density = 10494 kg/m³

Cell: 4.7087 4.7087 4.7087 Å, 60.00 60.00 60.00°
Fractional positions:
Sr 0.0000 0.0000 0.0000
Pt 0.7500 0.7500 0.7500
W 0.2500 0.2500 0.2500

***

No. 10
This record from Alexandria via LeMat-Bulk describes a PBEsol-optimized structure of Bi2P4O13. The functional is SCAN.

Values from the calculation:
Space-group type = No. 15
Formation energy from raw total energies = -2.17 eV per atom
Uncorrected energy = -16.89 eV per atom
Theoretical density = 4751 kg/m³

Cell: 6.9165 6.9165 13.2166 Å, 104.17 104.17 59.79°
Fractional positions:
Bi 0.1933 0.1952 0.0552
Bi 0.1952 0.1933 0.5552
Bi 0.8048 0.8067 0.4448
Bi 0.8067 0.8048 0.9448
P 0.2601 0.2748 0.3402
P 0.2748 0.2601 0.8402
P 0.3421 0.6369 0.1360
P 0.3631 0.6579 0.3640
P 0.6369 0.3421 0.6360
P 0.6579 0.3631 0.8640
P 0.7252 0.7399 0.1598
P 0.7399 0.7252 0.6598
O 0.0626 0.4248 0.4035
O 0.0776 0.4220 0.9022
O 0.1857 0.8102 0.0637
O 0.1898 0.8143 0.4363
O 0.1907 0.2034 0.2258
O 0.2034 0.1907 0.7258
O 0.2610 0.7390 0.2500
O 0.3795 0.3974 0.1051
O 0.3974 0.3795 0.6051
O 0.3967 0.4075 0.3433
O 0.4075 0.3967 0.8433
O 0.4220 0.0776 0.4022
O 0.4248 0.0626 0.9035
O 0.5752 0.9374 0.0965
O 0.5780 0.9224 0.5978
O 0.5925 0.6033 0.1567
O 0.6033 0.5925 0.6567
O 0.6026 0.6205 0.3949
O 0.6205 0.6026 0.8949
O 0.7390 0.2610 0.7500
O 0.7966 0.8093 0.2742
O 0.8093 0.7966 0.7742
O 0.8102 0.1857 0.5637
O 0.8143 0.1898 0.9363
O 0.9224 0.5780 0.0978
O 0.9374 0.5752 0.5965

***

No. 11
This record from Alexandria via LeMat-Bulk describes a PBEsol-optimized structure of ErB4Rh4. The functional is SCAN.

Values from the calculation:
Space-group type = No. 142
Uncorrected energy = -24.59 eV per atom
Calculated formation energy = -0.681 eV/atom
Theoretical density = 10153 kg/m³

Cell: 9.0465 9.0465 9.0465 Å, 131.47 131.47 71.06°
Fractional positions:
Er 0.1250 0.3750 0.7500
Er 0.3750 0.1250 0.2500
Er 0.6250 0.8750 0.7500
Er 0.8750 0.6250 0.2500
B 0.0666 0.1265 0.2801
B 0.1265 0.3463 0.0599
B 0.1537 0.3735 0.4401
B 0.2136 0.9334 0.5599
B 0.2864 0.8463 0.7199
B 0.3463 0.7864 0.2199
B 0.3735 0.4334 0.2199
B 0.4334 0.7136 0.0599
B 0.5666 0.2864 0.9401
B 0.6265 0.5666 0.7801
B 0.6537 0.2136 0.7801
B 0.7136 0.1537 0.2801
B 0.7864 0.0666 0.4401
B 0.8463 0.6265 0.5599
B 0.8735 0.6537 0.9401
B 0.9334 0.8735 0.7199
Rh 0.0368 0.8227 0.9816
Rh 0.0551 0.0368 0.7140
Rh 0.1589 0.6773 0.7140
Rh 0.1773 0.6589 0.2140
Rh 0.3227 0.5368 0.4816
Rh 0.3411 0.0551 0.5184
Rh 0.4449 0.1589 0.9816
Rh 0.4632 0.4449 0.7860
Rh 0.5368 0.5551 0.2140
Rh 0.5551 0.8411 0.0184
Rh 0.6589 0.9449 0.4816
Rh 0.6773 0.4632 0.5184
Rh 0.8227 0.3411 0.7860
Rh 0.8411 0.3227 0.2860
Rh 0.9449 0.9632 0.2860
Rh 0.9632 0.1773 0.0184

***

No. 12
This record from Alexandria via LeMat-Bulk describes a PBEsol-optimized structure of BeAl2IF. The functional is SCAN.

Values from the calculation:
Space-group type = No. 123
Formation energy from raw total energies = 0.02 eV per atom
Uncorrected energy = -12.00 eV per atom
Theoretical density = 3494 kg/m³

Cell: 4.4733 4.4733 4.9609 Å, 90.00 90.00 90.00°
Fractional positions:
Be 0.0000 0.0000 0.0000
Al 0.0000 0.5000 0.0000
Al 0.5000 0.0000 0.0000
I 0.0000 0.0000 0.5000
F 0.5000 0.5000 0.5000

***

Number 1: total magnetic moment 2.21 μB per formula unit. Number 2: total magnetic moment 0.01 μB per formula unit. Number 3: total magnetic moment 0.00 μB per formula unit. Number 4: total magnetic moment 1.30 μB per formula unit. Number 5: total magnetic moment 0.00 μB per formula unit. Number 6: total magnetic moment 1.87 μB per formula unit. Number 7: total magnetic moment 0.79 μB per formula unit. Number 8: total magnetic moment 0.58 μB per formula unit. Number 9: total magnetic moment 3.92 μB per formula unit. Number 10: total magnetic moment 0.00 μB per formula unit. Number 11: total magnetic moment 0.00 μB per formula unit. Number 12: total magnetic moment 0.00 μB per formula unit.